La12HoSn3: optimized geometry, PBE-GGA.

Properties
- DOS(E_F): 1.256 states/eV per atom
- Space-group type: No. 123
- Total moment: 0.00 μB/f.u.
- Energy: -5.08 eV per atom
- Calculated formation energy: -352 meV/atom

abc: 5.059 5.059 20.465
angles: 90.00 90.00 90.00
Atoms (fractional coordinates):
La  0.500  0.500  0.000
La  0.500  0.500  0.255
La  0.500  0.500  0.500
La  0.500  0.500  0.745
La  0.500  0.000  0.131
La  0.500  0.000  0.378
La  0.500  0.000  0.622
La  0.500  0.000  0.869
La  0.000  0.500  0.131
La  0.000  0.500  0.378
La  0.000  0.500  0.622
La  0.000  0.500  0.869
Ho  0.000  0.000  0.000
Sn  0.000  0.000  0.255
Sn  0.000  0.000  0.500
Sn  0.000  0.000  0.745